First-principles (GGA-PBE) data for a geometry-optimized La2BePb2 structure, as listed in Alexandria via LeMat-Bulk.

Results
Energy above the most stable polymorph in this dataset ... 0 meV per atom
Formation energy from the elements ... -193 meV/atom
Magnetic moment ... 0.00 μB per formula unit
Theoretical density ... 8.08 g/cm3
Calculated total energy ... -22.0 eV/f.u.

abc: 7.502 7.502 5.118
angles: 90.00 90.00 90.00
Fractional coordinates of all 10 atoms:
La  0.169  0.331  0.000
La  0.331  0.831  0.000
La  0.669  0.169  0.000
La  0.831  0.669  0.000
Be  0.000  0.000  0.500
Be  0.500  0.500  0.500
Pb  0.145  0.645  0.500
Pb  0.355  0.145  0.500
Pb  0.645  0.855  0.500
Pb  0.855  0.355  0.500